Record 1
## KHgOs2C (PBE-GGA)

Data for KHgOs2C after structural relaxation.

Lattice parameters (Å, degrees): 4.777 4.313 4.777 90.00 90.00 90.00
Fractional positions:
1 C 0.000 0.500 0.000
2 K 0.000 0.000 0.000
3 Os 0.000 0.000 0.500
4 Os 0.500 0.000 0.000
5 Hg 0.500 0.500 0.500

Computed properties:
For the magnetization, the calculation gives 1.6 μB per formula unit. Its symmetry is P4/mmm (123). Its formation energy is 3.983 eV per atom. As for the energy above the most stable polymorph in this dataset: 2.940 eV/atom.


Record 2
## Sm4Be2Ge5 (PBE-GGA)

Data for Sm4Be2Ge5 after structural relaxation.

Lattice parameters (Å, degrees): 4.235 6.944 7.922 88.04 90.00 90.00
Fractional positions:
1 Sm 0.500 0.739 0.630
2 Sm 0.500 0.229 0.866
3 Sm 0.500 0.261 0.370
4 Sm 0.500 0.771 0.134
5 Be 0.000 0.075 0.614
6 Be 0.000 0.925 0.386
7 Ge 0.000 0.598 0.362
8 Ge 0.000 0.100 0.134
9 Ge 0.000 0.500 0.000
10 Ge 0.000 0.900 0.866
11 Ge 0.000 0.402 0.638

Computed properties:
For the magnetization, the calculation gives 0.0 μB per formula unit. Its symmetry is P2/m (10). Its formation energy is -0.622 eV per atom.


Record 3
## PrHfRu (PBE-GGA)

Data for PrHfRu after structural relaxation.

Lattice parameters (Å, degrees): 4.489 7.125 13.132 91.94 90.00 90.00
Fractional positions:
1 Pr 0.750 0.506 0.376
2 Pr 0.250 0.019 0.710
3 Pr 0.750 0.981 0.290
4 Pr 0.750 0.615 0.083
5 Pr 0.250 0.494 0.624
6 Pr 0.250 0.385 0.917
7 Ru 0.250 0.814 0.891
8 Ru 0.750 0.302 0.763
9 Ru 0.750 0.781 0.564
10 Ru 0.750 0.186 0.109
11 Ru 0.250 0.219 0.436
12 Ru 0.250 0.698 0.237
13 Hf 0.250 0.961 0.083
14 Hf 0.250 0.857 0.460
15 Hf 0.750 0.665 0.792
16 Hf 0.750 0.143 0.540
17 Hf 0.250 0.335 0.208
18 Hf 0.750 0.039 0.917

Computed properties:
For the magnetization, the calculation gives 0.0 μB per formula unit. Its symmetry is P2_1/m (11). Its formation energy is -0.286 eV per atom.


Record 4
## LiScGe (PBE-GGA)

Data for LiScGe after structural relaxation.

Lattice parameters (Å, degrees): 4.114 6.728 11.844 90.00 90.00 90.00
Fractional positions:
1 Sc 0.000 0.238 0.960
2 Sc 0.000 0.762 0.040
3 Sc 0.000 0.238 0.540
4 Sc 0.000 0.762 0.460
5 Sc 0.000 0.126 0.250
6 Sc 0.000 0.874 0.750
7 Ge 0.500 0.054 0.101
8 Ge 0.500 0.946 0.899
9 Ge 0.500 0.054 0.399
10 Ge 0.500 0.946 0.601
11 Ge 0.000 0.548 0.250
12 Ge 0.000 0.452 0.750
13 Li 0.500 0.435 0.129
14 Li 0.500 0.565 0.871
15 Li 0.500 0.435 0.371
16 Li 0.500 0.565 0.629
17 Li 0.500 0.775 0.250
18 Li 0.500 0.225 0.750

Computed properties:
For the magnetization, the calculation gives 0.0 μB per formula unit. Its symmetry is Pmma (51). Its formation energy is -0.542 eV per atom.